Entry 1:
# BaTcPb PBE-GGA relaxed
# Volume = 88.60 Å³ per cell
# SG = F-43m
# E_tot = -4.640 eV per atom
data_BaTcPb
_chemical_formula_sum 'Ba1 Tc1 Pb1'
_space_group_name_H-M_alt 'P 1'
_space_group_IT_number 1
_cell_length_a 5.004
_cell_length_b 5.004
_cell_length_c 5.004
_cell_angle_alpha 60.00
_cell_angle_beta 60.00
_cell_angle_gamma 60.00
loop_
_space_group_symop_operation_xyz
'x,y,z'
loop_
_atom_site_label
_atom_site_fract_x
_atom_site_fract_y
_atom_site_fract_z
Ba1 0.500 0.500 0.500
Tc1 0.250 0.250 0.250
Pb1 0.000 0.000 0.000

***

Entry 2:
# BaTcPb2 PBE-GGA relaxed
# Volume = 109.58 Å³ per cell
# SG = F-43m
# E_tot = -4.288 eV per atom
data_BaTcPb2
_chemical_formula_sum 'Ba1 Tc1 Pb2'
_space_group_name_H-M_alt 'P 1'
_space_group_IT_number 1
_cell_length_a 5.371
_cell_length_b 5.371
_cell_length_c 5.371
_cell_angle_alpha 60.00
_cell_angle_beta 60.00
_cell_angle_gamma 60.00
loop_
_space_group_symop_operation_xyz
'x,y,z'
loop_
_atom_site_label
_atom_site_fract_x
_atom_site_fract_y
_atom_site_fract_z
Pb1 0.250 0.250 0.250
Pb2 0.000 0.000 0.000
Tc1 0.500 0.500 0.500
Ba1 0.750 0.750 0.750

***

Entry 3:
# BaUPb PBE-GGA relaxed
# Volume = 125.29 Å³ per cell
# SG = F-43m
# E_tot = -5.012 eV per atom
data_BaUPb
_chemical_formula_sum 'Ba1 U1 Pb1'
_space_group_name_H-M_alt 'P 1'
_space_group_IT_number 1
_cell_length_a 5.617
_cell_length_b 5.617
_cell_length_c 5.617
_cell_angle_alpha 60.00
_cell_angle_beta 60.00
_cell_angle_gamma 60.00
loop_
_space_group_symop_operation_xyz
'x,y,z'
loop_
_atom_site_label
_atom_site_fract_x
_atom_site_fract_y
_atom_site_fract_z
U1 0.000 0.000 0.000
Ba1 0.500 0.500 0.500
Pb1 0.250 0.250 0.250

***

Entry 4:
# BaPbW PBE-GGA relaxed
# Volume = 101.73 Å³ per cell
# SG = F-43m
# E_tot = -4.961 eV per atom
data_BaPbW
_chemical_formula_sum 'Ba1 Pb1 W1'
_space_group_name_H-M_alt 'P 1'
_space_group_IT_number 1
_cell_length_a 5.240
_cell_length_b 5.240
_cell_length_c 5.240
_cell_angle_alpha 60.00
_cell_angle_beta 60.00
_cell_angle_gamma 60.00
loop_
_space_group_symop_operation_xyz
'x,y,z'
loop_
_atom_site_label
_atom_site_fract_x
_atom_site_fract_y
_atom_site_fract_z
W1 0.000 0.000 0.000
Ba1 0.250 0.250 0.250
Pb1 0.750 0.750 0.750

***

Entry 5:
# BaZnPb PBE-GGA relaxed
# Volume = 289.99 Å³ per cell
# SG = P-62m
# E_tot = -2.583 eV per atom
data_BaZnPb
_chemical_formula_sum 'Ba3 Zn3 Pb3'
_space_group_name_H-M_alt 'P 1'
_space_group_IT_number 1
_cell_length_a 8.081
_cell_length_b 8.081
_cell_length_c 5.127
_cell_angle_alpha 90.00
_cell_angle_beta 90.00
_cell_angle_gamma 120.00
loop_
_space_group_symop_operation_xyz
'x,y,z'
loop_
_atom_site_label
_atom_site_fract_x
_atom_site_fract_y
_atom_site_fract_z
Ba1 0.000 0.567 0.500
Ba2 0.567 0.000 0.500
Ba3 0.433 0.433 0.500
Pb1 0.667 0.333 0.000
Pb2 0.000 0.000 0.500
Pb3 0.333 0.667 0.000
Zn1 0.000 0.244 0.000
Zn2 0.244 0.000 0.000
Zn3 0.756 0.756 0.000

***

Entry 6:
# BaZnPb PBE-GGA relaxed
# Volume = 201.68 Å³ per cell
# SG = P6_3/mmc
# E_tot = -2.385 eV per atom
data_BaZnPb
_chemical_formula_sum 'Ba2 Zn2 Pb2'
_space_group_name_H-M_alt 'P 1'
_space_group_IT_number 1
_cell_length_a 5.753
_cell_length_b 5.753
_cell_length_c 7.035
_cell_angle_alpha 90.00
_cell_angle_beta 90.00
_cell_angle_gamma 120.00
loop_
_space_group_symop_operation_xyz
'x,y,z'
loop_
_atom_site_label
_atom_site_fract_x
_atom_site_fract_y
_atom_site_fract_z
Ba1 0.333 0.667 0.750
Ba2 0.667 0.333 0.250
Pb1 0.333 0.667 0.250
Pb2 0.667 0.333 0.750
Zn1 0.000 0.000 0.000
Zn2 0.000 0.000 0.500

***

Entry 7:
# BaZnPb PBE-GGA relaxed
# Volume = 308.92 Å³ per cell
# SG = P-62m
# E_tot = -2.352 eV per atom
data_BaZnPb
_chemical_formula_sum 'Ba3 Zn3 Pb3'
_space_group_name_H-M_alt 'P 1'
_space_group_IT_number 1
_cell_length_a 9.525
_cell_length_b 9.525
_cell_length_c 3.932
_cell_angle_alpha 90.00
_cell_angle_beta 90.00
_cell_angle_gamma 120.00
loop_
_space_group_symop_operation_xyz
'x,y,z'
loop_
_atom_site_label
_atom_site_fract_x
_atom_site_fract_y
_atom_site_fract_z
Ba1 0.295 0.000 0.000
Ba2 0.000 0.295 0.000
Ba3 0.705 0.705 0.000
Pb1 0.667 0.333 0.000
Pb2 0.333 0.667 0.000
Pb3 0.000 0.000 0.500
Zn1 0.000 0.619 0.500
Zn2 0.619 0.000 0.500
Zn3 0.381 0.381 0.500

***

Entry 8:
# BaZnPb PBE-GGA relaxed
# Volume = 285.69 Å³ per cell
# SG = P-62m
# E_tot = -2.593 eV per atom
data_BaZnPb
_chemical_formula_sum 'Ba3 Zn3 Pb3'
_space_group_name_H-M_alt 'P 1'
_space_group_IT_number 1
_cell_length_a 8.191
_cell_length_b 8.191
_cell_length_c 4.917
_cell_angle_alpha 90.00
_cell_angle_beta 90.00
_cell_angle_gamma 120.00
loop_
_space_group_symop_operation_xyz
'x,y,z'
loop_
_atom_site_label
_atom_site_fract_x
_atom_site_fract_y
_atom_site_fract_z
Ba1 0.595 0.000 0.500
Ba2 0.000 0.595 0.500
Ba3 0.405 0.405 0.500
Zn1 0.000 0.000 0.500
Zn2 0.667 0.333 0.000
Zn3 0.333 0.667 0.000
Pb1 0.000 0.252 0.000
Pb2 0.748 0.748 0.000
Pb3 0.252 0.000 0.000

***

Entry 9:
# BaZnPb2 PBE-GGA relaxed
# Volume = 130.36 Å³ per cell
# SG = F-43m
# E_tot = -2.855 eV per atom
data_BaZnPb2
_chemical_formula_sum 'Ba1 Zn1 Pb2'
_space_group_name_H-M_alt 'P 1'
_space_group_IT_number 1
_cell_length_a 5.691
_cell_length_b 5.691
_cell_length_c 5.691
_cell_angle_alpha 60.00
_cell_angle_beta 60.00
_cell_angle_gamma 60.00
loop_
_space_group_symop_operation_xyz
'x,y,z'
loop_
_atom_site_label
_atom_site_fract_x
_atom_site_fract_y
_atom_site_fract_z
Zn1 0.750 0.750 0.750
Ba1 0.500 0.500 0.500
Pb1 0.000 0.000 0.000
Pb2 0.250 0.250 0.250

***

Entry 10:
# Ba2ZnPb PBE-GGA relaxed
# Volume = 144.05 Å³ per cell
# SG = F-43m
# E_tot = -2.293 eV per atom
data_Ba2ZnPb
_chemical_formula_sum 'Ba2 Zn1 Pb1'
_space_group_name_H-M_alt 'P 1'
_space_group_IT_number 1
_cell_length_a 5.884
_cell_length_b 5.884
_cell_length_c 5.884
_cell_angle_alpha 60.00
_cell_angle_beta 60.00
_cell_angle_gamma 60.00
loop_
_space_group_symop_operation_xyz
'x,y,z'
loop_
_atom_site_label
_atom_site_fract_x
_atom_site_fract_y
_atom_site_fract_z
Ba1 0.000 0.000 0.000
Ba2 0.750 0.750 0.750
Zn1 0.250 0.250 0.250
Pb1 0.500 0.500 0.500

***

Entry 11:
# BaZnPb PBE-GGA relaxed
# Volume = 202.83 Å³ per cell
# SG = P6_3/mmc
# E_tot = -2.714 eV per atom
data_BaZnPb
_chemical_formula_sum 'Ba2 Zn2 Pb2'
_space_group_name_H-M_alt 'P 1'
_space_group_IT_number 1
_cell_length_a 4.859
_cell_length_b 4.859
_cell_length_c 9.921
_cell_angle_alpha 90.00
_cell_angle_beta 90.00
_cell_angle_gamma 120.00
loop_
_space_group_symop_operation_xyz
'x,y,z'
loop_
_atom_site_label
_atom_site_fract_x
_atom_site_fract_y
_atom_site_fract_z
Ba1 0.000 0.000 0.000
Ba2 0.000 0.000 0.500
Pb1 0.333 0.667 0.750
Pb2 0.667 0.333 0.250
Zn1 0.667 0.333 0.750
Zn2 0.333 0.667 0.250

***

Entry 12:
# Ba3Pd2 PBE-GGA relaxed
# Volume = 542.16 Å³ per cell
# SG = R-3
# E_tot = -3.701 eV per atom
data_Ba3Pd2
_chemical_formula_sum 'Ba9 Pd6'
_space_group_name_H-M_alt 'P 1'
_space_group_IT_number 1
_cell_length_a 8.527
_cell_length_b 8.527
_cell_length_c 8.527
_cell_angle_alpha 71.64
_cell_angle_beta 71.64
_cell_angle_gamma 71.64
loop_
_space_group_symop_operation_xyz
'x,y,z'
loop_
_atom_site_label
_atom_site_fract_x
_atom_site_fract_y
_atom_site_fract_z
Ba1 0.325 0.843 0.609
Ba2 0.798 0.798 0.798
Ba3 0.202 0.202 0.202
Ba4 0.157 0.391 0.675
Ba5 0.675 0.157 0.391
Ba6 0.609 0.325 0.843
Ba7 0.843 0.609 0.325
Ba8 0.000 0.000 0.000
Ba9 0.391 0.675 0.157
Pd1 0.147 0.589 0.961
Pd2 0.589 0.961 0.147
Pd3 0.039 0.853 0.411
Pd4 0.411 0.039 0.853
Pd5 0.853 0.411 0.039
Pd6 0.961 0.147 0.589